The following is a DFT calculation (PBE) of an optimized crystal structure of LaErCdAg.

Summary:
The value obtained for the formation energy is -304 meV/atom. As for the calculated volume: 26.7 A^3/atom. Its energy relative to the lowest polymorph listed for this composition is 0.0 meV per atom.

The structure in POSCAR format:
```
LaErCdAg
1.0
3.720 0.000 0.000
0.000 3.720 0.000
0.000 0.000 7.721
La Er Cd Ag
1 1 1 1
Direct
0.500 0.500 0.112
0.500 0.500 0.594
0.000 0.000 0.832
0.000 0.000 0.389
```